This record from Alexandria describes a relaxed H3I2Cl crystal. The functional is PBE-GGA.

Values from the calculation:
**Total DFT energy (no corrections)**: -2.637 eV/atom
**Symmetry**: P2_1/m, No. 11
**Magnetization**: 0.00 μB per formula unit

Unit cell a=4.4706 b=6.1837 c=15.9284 alpha=90.00 beta=96.87 gamma=90.00
Fractional positions:
H 0.0736 0.2500 0.0281
H 0.2896 0.7500 0.3032
H 0.4172 0.2500 0.3473
H 0.5828 0.7500 0.6527
H 0.7104 0.2500 0.6968
H 0.9264 0.7500 0.9719
I 0.1496 0.2500 0.4084
I 0.1644 0.7500 0.9019
I 0.8356 0.2500 0.0981
I 0.8504 0.7500 0.5916
Cl 0.4890 0.7500 0.2511
Cl 0.5110 0.2500 0.7489